Below is crystalline ZrCu2TeSeS at its relaxed geometry, with properties calculated at the PBE-GGA level.

POSCAR file:
```
ZrCu2TeSeS
1.0
1.6327 9.0385 -3.6926
-1.7407 8.1160 -5.3942
-3.4052 2.0243 5.6535
Se Cu Zr Te S
2 4 2 2 2
Cartesian
-2.9009 3.2074 4.0123 Se
-0.6123 15.9714 -7.4455 Se
-3.3201 5.5165 3.5914 Cu
-0.1931 13.6623 -7.0246 Cu
-1.2355 8.4223 -2.1170 Cu
-2.2777 10.7565 -1.3162 Cu
-1.6071 15.3173 -5.1187 Zr
-1.9062 3.8614 1.6855 Zr
-2.4285 8.5534 0.1772 Te
-1.0847 10.6254 -3.6104 Te
-2.5266 14.2249 -2.7034 S
-0.9867 4.9539 -0.7298 S
```

Calculated values
Crystal system: monoclinic
Spin magnetization, μB/f.u.: 0.00
ΔE to the lowest computed polymorph, eV per atom: 0.053